VASP calculation (PBE-GGA) on a geometry-optimized LiRe2Tc structure.

Values from the calculation:
Raw total energy: -36.01 eV per cell
Excess energy over the best structure of this formula in the dataset: 120 meV/atom
Magnetization: 0.0 μB/cell
V: 13.775 A^3/atom
DFT formation energy: 292 meV per atom
Space-group type: No. 99

Cell: 3.115 3.115 5.680 Å, 90.00 90.00 90.00°
Sites, in units of the cell vectors:
Li: 0.500 0.500 0.747
Re: 0.000 0.000 0.981
Re: 0.500 0.500 0.247
Tc: 0.000 0.000 0.525